Entry from the Open Quantum Materials Database: a relaxed USiMo crystal (PBE).

The structure in CIF format:
```
data_USiMo
_cell_length_a 6.240
_cell_length_b 6.240
_cell_length_c 6.240
_cell_angle_alpha 90.00
_cell_angle_beta 90.00
_cell_angle_gamma 90.00
_symmetry_space_group_name_H-M 'F -4 3 m'
_symmetry_Int_Tables_number 216
_symmetry_space_group_name_Hall 'F -4 2 3'
loop_
_atom_site_label
_atom_site_type_symbol
_atom_site_fract_x
_atom_site_fract_y
_atom_site_fract_z
_atom_site_occupancy
U1 U 0.000 0.000 0.000 1
Si1 Si 0.000 0.000 0.500 1
Mo1 Mo 0.250 0.250 0.750 1
```

Summary:
The value obtained for the magnetization is 8.091 Bohr magnetons per cell.



Entry from the Open Quantum Materials Database: a relaxed Ho3Sc3FeSb2 crystal (PBE).

The structure in CIF format:
```
data_Ho3Sc3FeSb2
_cell_length_a 8.0189
_cell_length_b 8.0189
_cell_length_c 3.9296
_cell_angle_alpha 90.00
_cell_angle_beta 90.00
_cell_angle_gamma 120.00
_symmetry_space_group_name_H-M 'P -6 2 m'
_symmetry_Int_Tables_number 189
_symmetry_space_group_name_Hall 'P -6 -2'
loop_
_atom_site_label
_atom_site_type_symbol
_atom_site_fract_x
_atom_site_fract_y
_atom_site_fract_z
_atom_site_occupancy
Ho1 Ho 0.0000 0.2399 0.0000 1
Sc1 Sc 0.0000 0.6063 0.5000 1
Fe1 Fe 0.0000 0.0000 0.5000 1
Sb1 Sb 0.3333 0.6667 0.0000 1
```

Summary:
The value obtained for the magnetization is 0.692 Bohr magnetons per cell. As for the energy relative to the lowest polymorph listed for this composition: 132 kJ/mol of formula units.



Entry from the Open Quantum Materials Database: a relaxed NdAsNO crystal (PBE).

The structure in CIF format:
```
data_NdAsNO
_cell_length_a 5.033
_cell_length_b 5.033
_cell_length_c 4.837
_cell_angle_alpha 90.00
_cell_angle_beta 90.00
_cell_angle_gamma 90.00
_symmetry_space_group_name_H-M 'P 4/n m m'
_symmetry_Int_Tables_number 129
loop_
_symmetry_equiv_pos_as_xyz
'x,y,z'
'-x,-y,-z'
'-y+1/2,x,z'
'y+1/2,-x,-z'
'-x+1/2,-y+1/2,z'
'x+1/2,y+1/2,-z'
'y,-x+1/2,z'
'-y,x+1/2,-z'
'x+1/2,-y,-z'
'-x+1/2,y,z'
'-y,-x,-z'
'y,x,z'
'-x,y+1/2,-z'
'x,-y+1/2,z'
'y+1/2,x+1/2,-z'
'-y+1/2,-x+1/2,z'
loop_
_atom_site_label
_atom_site_type_symbol
_atom_site_fract_x
_atom_site_fract_y
_atom_site_fract_z
_atom_site_occupancy
Nd1 Nd 0.250 0.750 0.000 1
As1 As 0.250 0.250 0.473 1
N1 N 0.250 0.250 0.095 1
O1 O 0.250 0.750 0.500 1
```

Summary:
The value obtained for the magnetization is 0.003 Bohr magnetons per cell. As for the energy relative to the lowest polymorph listed for this composition: 85 kJ/mol of formula units.



Entry from the Open Quantum Materials Database: a relaxed MgHgSO crystal (PBE).

The structure in CIF format:
```
data_MgHgSO
_cell_length_a 5.574
_cell_length_b 3.532
_cell_length_c 14.118
_cell_angle_alpha 90.00
_cell_angle_beta 90.00
_cell_angle_gamma 90.00
_symmetry_space_group_name_H-M 'P n m a'
_symmetry_Int_Tables_number 62
loop_
_symmetry_equiv_pos_as_xyz
'x,y,z'
'-x,-y,-z'
'-x+1/2,-y,z+1/2'
'x+1/2,y,-z+1/2'
'x+1/2,-y+1/2,-z+1/2'
'-x+1/2,y+1/2,z+1/2'
'-x,y+1/2,-z'
'x,-y+1/2,z'
loop_
_atom_site_label
_atom_site_type_symbol
_atom_site_fract_x
_atom_site_fract_y
_atom_site_fract_z
_atom_site_occupancy
Mg1 Mg 0.227 0.250 0.089 1
Hg1 Hg 0.219 0.750 0.310 1
S1 S 0.246 0.750 0.940 1
O1 O 0.249 0.750 0.158 1
```

Summary:
As for the energy relative to the lowest polymorph listed for this composition: 80 kJ/mol of formula units.



Entry from the Open Quantum Materials Database: a relaxed LaAgGeTeSe2 crystal (PBE).

The structure in CIF format:
```
data_LaAgGeTeSe2
_cell_length_a 4.159
_cell_length_b 13.770
_cell_length_c 11.656
_cell_angle_alpha 90.00
_cell_angle_beta 90.00
_cell_angle_gamma 90.00
_symmetry_space_group_name_H-M 'C m c m'
_symmetry_Int_Tables_number 63
_symmetry_space_group_name_Hall '-C 2c 2'
loop_
_atom_site_label
_atom_site_type_symbol
_atom_site_fract_x
_atom_site_fract_y
_atom_site_fract_z
_atom_site_occupancy
La1 La 0.000 0.000 0.000 1
Ag1 Ag 0.000 0.482 0.250 1
Ge1 Ge 0.000 0.209 0.750 1
Te1 Te 0.000 0.121 0.250 1
Se1 Se 0.000 0.357 0.079 1
```

Summary:
The value obtained for the magnetization is 0.008 Bohr magnetons per cell.



Entry from the Open Quantum Materials Database: a relaxed TmAuSO crystal (PBE).

The structure in CIF format:
```
data_TmAuSO
_cell_length_a 5.447
_cell_length_b 5.447
_cell_length_c 9.094
_cell_angle_alpha 90.00
_cell_angle_beta 90.00
_cell_angle_gamma 90.00
_symmetry_space_group_name_H-M 'P -4 2 m'
_symmetry_Int_Tables_number 111
loop_
_symmetry_equiv_pos_as_xyz
'x,y,z'
'y,-x,-z'
'-x,-y,z'
'-y,x,-z'
'x,-y,-z'
'y,x,z'
'-x,y,-z'
'-y,-x,z'
loop_
_atom_site_label
_atom_site_type_symbol
_atom_site_fract_x
_atom_site_fract_y
_atom_site_fract_z
_atom_site_occupancy
Tm1 Tm 0.250 0.250 0.120 1
Au1 Au 0.000 0.000 0.500 1
Au2 Au 0.000 0.500 0.500 1
Au3 Au 0.500 0.500 0.500 1
S1 S 0.249 0.249 0.719 1
O1 O 0.000 0.000 0.000 1
O2 O 0.000 0.500 0.000 1
O3 O 0.500 0.500 0.000 1
```

Summary:
The value obtained for the magnetization is 0.002 Bohr magnetons per cell. As for the energy relative to the lowest polymorph listed for this composition: 72 kJ/mol of formula units.



Entry from the Open Quantum Materials Database: a relaxed Hf31AgO64 crystal (PBE).

The structure in CIF format:
```
data_Hf31AgO64
_cell_length_a 10.021
_cell_length_b 10.086
_cell_length_c 10.456
_cell_angle_alpha 90.01
_cell_angle_beta 90.05
_cell_angle_gamma 90.31
_symmetry_space_group_name_H-M 'P 1'
_symmetry_Int_Tables_number 1
loop_
_symmetry_equiv_pos_as_xyz
'x,y,z'
loop_
_atom_site_label
_atom_site_type_symbol
_atom_site_fract_x
_atom_site_fract_y
_atom_site_fract_z
_atom_site_occupancy
Hf1 Hf 0.000 0.000 0.000 1
Hf2 Hf 0.000 0.248 0.218 1
Hf3 Hf 0.001 0.249 0.719 1
Hf4 Hf 0.225 0.506 0.755 1
Hf5 Hf 0.228 0.251 0.468 1
Hf6 Hf 0.230 0.752 0.468 1
Hf7 Hf 0.231 0.501 0.252 1
Hf8 Hf 0.232 0.753 0.969 1
Hf9 Hf 0.233 0.000 0.252 1
Hf10 Hf 0.234 0.253 0.971 1
Hf11 Hf 0.236 0.999 0.749 1
Hf12 Hf 0.498 0.498 0.003 1
Hf13 Hf 0.499 0.750 0.218 1
Hf14 Hf 0.500 0.248 0.219 1
Hf15 Hf 0.500 0.501 0.495 1
Hf16 Hf 0.500 0.745 0.718 1
Hf17 Hf 0.501 0.999 0.001 1
Hf18 Hf 0.504 0.999 0.504 1
Hf19 Hf 0.729 0.001 0.752 1
Hf20 Hf 0.731 0.246 0.969 1
Hf21 Hf 0.731 0.497 0.752 1
Hf22 Hf 0.731 0.748 0.967 1
Hf23 Hf 0.732 0.246 0.468 1
Hf24 Hf 0.732 0.499 0.250 1
Hf25 Hf 0.732 0.999 0.251 1
Hf26 Hf 0.733 0.749 0.468 1
Hf27 Hf 0.996 0.754 0.719 1
Hf28 Hf 0.997 0.500 0.003 1
Hf29 Hf 0.998 0.501 0.503 1
Hf30 Hf 0.999 0.001 0.502 1
Hf31 Hf 0.999 0.750 0.218 1
Ag1 Ag 0.487 0.269 0.710 1
O1 O 0.091 0.377 0.855 1
O2 O 0.093 0.375 0.354 1
O3 O 0.093 0.628 0.870 1
O4 O 0.095 0.125 0.367 1
O5 O 0.095 0.625 0.368 1
O6 O 0.096 0.875 0.352 1
O7 O 0.097 0.877 0.851 1
O8 O 0.102 0.127 0.868 1
O9 O 0.134 0.629 0.619 1
O10 O 0.135 0.376 0.104 1
O11 O 0.135 0.626 0.118 1
O12 O 0.135 0.876 0.102 1
O13 O 0.136 0.877 0.602 1
O14 O 0.137 0.126 0.617 1
O15 O 0.138 0.126 0.118 1
O16 O 0.139 0.378 0.605 1
O17 O 0.326 0.186 0.799 1
O18 O 0.326 0.688 0.801 1
O19 O 0.327 0.434 0.918 1
O20 O 0.329 0.430 0.419 1
O21 O 0.330 0.181 0.305 1
O22 O 0.330 0.681 0.302 1
O23 O 0.330 0.934 0.919 1
O24 O 0.331 0.932 0.420 1
O25 O 0.399 0.430 0.169 1
O26 O 0.401 0.680 0.051 1
O27 O 0.401 0.930 0.169 1
O28 O 0.402 0.181 0.052 1
O29 O 0.402 0.682 0.548 1
O30 O 0.403 0.183 0.550 1
O31 O 0.403 0.928 0.669 1
O32 O 0.404 0.468 0.669 1
O33 O 0.593 0.369 0.853 1
O34 O 0.594 0.124 0.365 1
O35 O 0.594 0.620 0.866 1
O36 O 0.594 0.870 0.852 1
O37 O 0.595 0.626 0.365 1
O38 O 0.596 0.375 0.351 1
O39 O 0.596 0.875 0.353 1
O40 O 0.607 0.115 0.876 1
O41 O 0.632 0.373 0.602 1
O42 O 0.635 0.374 0.102 1
O43 O 0.635 0.624 0.117 1
O44 O 0.636 0.870 0.604 1
O45 O 0.637 0.125 0.121 1
O46 O 0.637 0.874 0.102 1
O47 O 0.639 0.622 0.614 1
O48 O 0.649 0.117 0.607 1
O49 O 0.825 0.431 0.920 1
O50 O 0.827 0.433 0.421 1
O51 O 0.829 0.678 0.800 1
O52 O 0.830 0.680 0.301 1
O53 O 0.831 0.179 0.302 1
O54 O 0.831 0.930 0.418 1
O55 O 0.833 0.925 0.917 1
O56 O 0.835 0.178 0.803 1
O57 O 0.899 0.678 0.052 1
O58 O 0.900 0.428 0.170 1
O59 O 0.901 0.430 0.669 1
O60 O 0.901 0.932 0.668 1
O61 O 0.902 0.682 0.551 1
O62 O 0.902 0.931 0.168 1
O63 O 0.903 0.179 0.051 1
O64 O 0.906 0.185 0.549 1
```

Summary:
The value obtained for the magnetization is 0.976 Bohr magnetons per cell.



Entry from the Open Quantum Materials Database: a relaxed ZnCdSO crystal (PBE).

The structure in CIF format:
```
data_ZnCdSO
_cell_length_a 3.991
_cell_length_b 3.991
_cell_length_c 8.318
_cell_angle_alpha 90.00
_cell_angle_beta 90.00
_cell_angle_gamma 90.00
_symmetry_space_group_name_H-M 'P 4/n m m'
_symmetry_Int_Tables_number 129
loop_
_symmetry_equiv_pos_as_xyz
'x,y,z'
'-x,-y,-z'
'-y+1/2,x,z'
'y+1/2,-x,-z'
'-x+1/2,-y+1/2,z'
'x+1/2,y+1/2,-z'
'y,-x+1/2,z'
'-y,x+1/2,-z'
'x+1/2,-y,-z'
'-x+1/2,y,z'
'-y,-x,-z'
'y,x,z'
'-x,y+1/2,-z'
'x,-y+1/2,z'
'y+1/2,x+1/2,-z'
'-y+1/2,-x+1/2,z'
loop_
_atom_site_label
_atom_site_type_symbol
_atom_site_fract_x
_atom_site_fract_y
_atom_site_fract_z
_atom_site_occupancy
Zn1 Zn 0.250 0.250 0.234 1
Cd1 Cd 0.250 0.750 0.500 1
S1 S 0.250 0.250 0.817 1
O1 O 0.250 0.250 0.002 1
```

Summary:
As for the energy relative to the lowest polymorph listed for this composition: 296 kJ/mol of formula units.



Entry from the Open Quantum Materials Database: a relaxed ScBeAu4 crystal (PBE).

The structure in CIF format:
```
data_ScBeAu4
_cell_length_a 3.170
_cell_length_b 3.170
_cell_length_c 10.124
_cell_angle_alpha 90.00
_cell_angle_beta 90.00
_cell_angle_gamma 90.00
_symmetry_space_group_name_H-M 'P 4/m m m'
_symmetry_Int_Tables_number 123
_symmetry_space_group_name_Hall '-P 4 2'
loop_
_atom_site_label
_atom_site_type_symbol
_atom_site_fract_x
_atom_site_fract_y
_atom_site_fract_z
_atom_site_occupancy
Sc1 Sc 0.000 0.000 0.000 1
Be1 Be 0.500 0.500 0.500 1
Au1 Au 0.000 0.000 0.365 1
Au2 Au 0.500 0.500 0.175 1
```

Summary:
The value obtained for the magnetization is 0.002 Bohr magnetons per cell.



Entry from the Open Quantum Materials Database: a relaxed Sc2Zn3CdAu2 crystal (PBE).

The structure in CIF format:
```
data_Sc2Zn3CdAu2
_cell_length_a 4.647
_cell_length_b 4.647
_cell_length_c 6.566
_cell_angle_alpha 90.00
_cell_angle_beta 90.00
_cell_angle_gamma 90.00
_symmetry_space_group_name_H-M 'P -4 m 2'
_symmetry_Int_Tables_number 115
loop_
_symmetry_equiv_pos_as_xyz
'x,y,z'
'y,-x,-z'
'-x,-y,z'
'-y,x,-z'
'-x,y,z'
'-y,-x,-z'
'x,-y,z'
'y,x,-z'
loop_
_atom_site_label
_atom_site_type_symbol
_atom_site_fract_x
_atom_site_fract_y
_atom_site_fract_z
_atom_site_occupancy
Sc1 Sc 0.000 0.500 0.239 1
Zn1 Zn 0.000 0.000 0.000 1
Zn2 Zn 0.000 0.500 0.757 1
Cd1 Cd 0.500 0.500 0.500 1
Au1 Au 0.000 0.000 0.500 1
Au2 Au 0.500 0.500 0.000 1
```

Summary:
The value obtained for the magnetization is 0.005 Bohr magnetons per cell. The calculation puts the formation energy at -3.5 eV per formula unit.



Entry from the Open Quantum Materials Database: a relaxed NdMo2 crystal (PBE).

The structure in CIF format:
```
data_NdMo2
_cell_length_a 6.455
_cell_length_b 6.455
_cell_length_c 6.455
_cell_angle_alpha 90.00
_cell_angle_beta 90.00
_cell_angle_gamma 90.00
_symmetry_space_group_name_H-M 'F m -3 m'
_symmetry_Int_Tables_number 225
_symmetry_space_group_name_Hall '-F 4 2 3'
loop_
_atom_site_label
_atom_site_type_symbol
_atom_site_fract_x
_atom_site_fract_y
_atom_site_fract_z
_atom_site_occupancy
Nd1 Nd 0.000 0.000 0.000 1
Mo1 Mo 0.250 0.250 0.250 1
```

Summary:
The value obtained for the magnetization is 0.006 Bohr magnetons per cell. The calculation puts the formation energy at 5.7 eV per formula unit. As for the energy relative to the lowest polymorph listed for this composition: 474 kJ/mol of formula units.



Entry from the Open Quantum Materials Database: a relaxed YIrPb crystal (PBE).

The structure in CIF format:
```
data_YIrPb
_cell_length_a 6.810
_cell_length_b 6.810
_cell_length_c 6.810
_cell_angle_alpha 90.00
_cell_angle_beta 90.00
_cell_angle_gamma 90.00
_symmetry_space_group_name_H-M 'F -4 3 m'
_symmetry_Int_Tables_number 216
_symmetry_space_group_name_Hall 'F -4 2 3'
loop_
_atom_site_label
_atom_site_type_symbol
_atom_site_fract_x
_atom_site_fract_y
_atom_site_fract_z
_atom_site_occupancy
Y1 Y 0.000 0.000 0.000 1
Ir1 Ir 0.250 0.250 0.750 1
Pb1 Pb 0.250 0.250 0.250 1
```

Summary:
The value obtained for the magnetization is 0.042 Bohr magnetons per cell.



Uncorrected energy, record by record: -8.864 -5.952 -6.698 -3.718 -4.503 -6.010 -9.942 -2.980 -4.202 -3.425 -6.923 -6.122 eV per atom